Entry 1:
Material: LaMgW2
Method: DFT, GGA-PBEsol
State: optimized geometry

Cell and atoms, written as POSCAR:
```
LaMgW2
1.0
2.8033 0.0029 0.0000
-0.8774 5.4949 0.0000
-0.9629 -2.7489 4.9395
Mg W La
1 2 1
direct
0.0000 0.5000 0.0000 Mg
0.5000 0.5000 0.5000 W
0.0000 0.0000 0.5000 W
0.5000 0.0000 0.0000 La
```

Values from the calculation:
* ΔE_f: 0.8039 eV per atom
* ΔE to the lowest computed polymorph: 372 meV per atom
* SG: C2/m (12)

---

Entry 2:
Material: LaMgW2
Method: DFT, GGA-PBEsol
State: optimized geometry

Cell and atoms, written as POSCAR:
```
LaMgW2
1.0
3.5497 0.0000 0.0000
0.0000 3.5497 0.0000
0.0000 0.0000 6.6421
W La Mg
2 1 1
direct
0.0000 0.0000 0.6782 W
0.0000 0.0000 0.3218 W
0.5000 0.5000 0.0000 La
0.5000 0.5000 0.5000 Mg
```

Values from the calculation:
* ΔE_f: 0.8594 eV per atom
* ΔE to the lowest computed polymorph: 427 meV per atom
* SG: P4/mmm (123)

---

Entry 3:
Material: La2YMg
Method: DFT, GGA-PBEsol
State: optimized geometry

Cell and atoms, written as POSCAR:
```
La2YMg
1.0
3.8262 0.0000 0.0000
0.0000 5.6811 0.0000
-1.9131 -2.8405 5.7153
La Y Mg
2 1 1
direct
0.9987 0.9987 0.9973 La
0.7653 0.2653 0.5307 La
0.2308 0.7308 0.4617 Y
0.5051 0.5051 0.0103 Mg
```

Values from the calculation:
* ΔE_f: -0.0163 eV per atom
* SG: Imm2 (44)

---

Entry 4:
Material: La2YMg
Method: DFT, GGA-PBEsol
State: optimized geometry

Cell and atoms, written as POSCAR:
```
La2YMg
1.0
-3.0625 0.7315 -1.7661
1.7173 -0.4121 -3.1487
-2.2407 -9.3705 0.0042
Y Mg La
1 1 2
direct
0.5000 0.5000 0.5000 Y
0.5000 0.5000 0.0000 Mg
0.0000 0.0000 0.2383 La
0.0000 0.0000 0.7617 La
```

Values from the calculation:
* ΔE_f: -0.0076 eV per atom
* SG: P4/mmm (123)

---

Entry 5:
Material: La2YMg
Method: DFT, GGA-PBEsol
State: optimized geometry

Cell and atoms, written as POSCAR:
```
La2YMg
1.0
4.9364 0.0000 0.0000
0.0000 4.9364 0.0000
-2.4682 -2.4682 5.0103
Y La Mg
1 2 1
direct
0.0000 0.0000 0.0000 Y
0.7500 0.2500 0.5000 La
0.2500 0.7500 0.5000 La
0.5000 0.5000 0.0000 Mg
```

Values from the calculation:
* ΔE_f: -0.0101 eV per atom
* SG: I4/mmm (139)

---

Entry 6:
Material: La2YMg
Method: DFT, GGA-PBEsol
State: optimized geometry

Cell and atoms, written as POSCAR:
```
La2YMg
1.0
-0.4329 1.7014 3.2139
-1.0725 -3.1524 1.5244
8.6789 -1.9007 2.1753
La Mg Y
2 1 1
direct
0.0000 0.0000 0.9943 La
0.5000 0.5000 0.2671 La
0.0000 0.0000 0.5107 Mg
0.5000 0.5000 0.7279 Y
```

Values from the calculation:
* ΔE_f: -0.0347 eV per atom
* SG: P4mm (99)